[1]
This record from the Alexandria database describes a crystal of NaFePO4 relaxed with PBEsol. The functional is SCAN.

The space group is Pnma (No. 62) and the conventional cell measures 10.257, 6.194 and 5.094 Å, with angles of 90.00, 90.00 and 90.00 degrees. The asymmetric unit holds Na at (0.000, 0.000, 0.000), Fe at (0.165, 0.250, 0.496), P at (0.186, 0.750, 0.483), O at (0.118, 0.545, 0.375), O at (0.167, 0.250, 0.893) and O at (0.172, 0.750, 0.787).

The crystal system is orthorhombic. The value obtained for the uncorrected formation energy is -2184 meV per atom. For the total energy, the calculation gives -291.83 eV per cell. The polymorph energy (0 for the lowest one) is 3.4 kJ/mol of atoms.

[2]
This record from the Alexandria database describes a crystal of NaFeSe2O8 relaxed with PBEsol. The functional is SCAN.

The space group is C2/m (No. 12) and the conventional cell measures 8.288, 5.473 and 7.172 Å, with angles of 90.00, 91.50 and 90.00 degrees. The asymmetric unit holds Na at (0.000, 0.000, 0.000), Fe at (0.000, 0.000, 0.500), Se at (0.138, 0.500, 0.276), O at (0.019, 0.251, 0.295), O at (0.219, 0.500, 0.072) and O at (0.234, 0.000, 0.539).

The crystal system is monoclinic. The value obtained for the uncorrected formation energy is -1131 meV per atom. For the total energy, the calculation gives -251.85 eV per cell.